P | # CePmAu2, relaxed, DFT PBE
# - M_tot (μB/f.u.) = 1.11
# - crystal system = cubic
# - D(E_F) (states/eV per cell) = 35.61
data_CePmAu2
_cell_length_a 7.392
_cell_length_b 7.392
_cell_length_c 7.392
_cell_angle_alpha 90.00
_cell_angle_beta 90.00
_cell_angle_gamma 90.00
_space_group_name_H-M_alt 'F m -3 m'
_space_group_IT_number 225
_space_group_name_Hall '-F 4 2 3'
loop_
_atom_site_label
_atom_site_fract_x
_atom_site_fract_y
_atom_site_fract_z
Ce1 0.000 0.000 0.000
Pm1 0.000 0.000 0.500
Au1 0.250 0.250 0.250



Q | # CePmAu2, relaxed, DFT PBE
# - M_tot (μB/f.u.) = 0.89
# - crystal system = orthorhombic
# - D(E_F) (states/eV per cell) = 13.78
data_CePmAu2
_cell_length_a 4.765
_cell_length_b 3.870
_cell_length_c 11.319
_cell_angle_alpha 90.00
_cell_angle_beta 90.00
_cell_angle_gamma 90.00
_space_group_name_H-M_alt 'A m m 2'
_space_group_IT_number 38
_space_group_name_Hall 'A 2 -2'
loop_
_atom_site_label
_atom_site_fract_x
_atom_site_fract_y
_atom_site_fract_z
Ce1 0.000 0.000 0.000
Pm1 0.500 0.000 0.276
Au1 0.000 0.000 0.723
Au2 0.500 0.000 0.549



R | # CePmAu2, relaxed, DFT PBE
# - M_tot (μB/f.u.) = 1.20
# - crystal system = trigonal
# - D(E_F) (states/eV per cell) = 25.69
data_CePmAu2
_cell_length_a 4.1095
_cell_length_b 4.1095
_cell_length_c 23.1741
_cell_angle_alpha 90.00
_cell_angle_beta 90.00
_cell_angle_gamma 120.00
_space_group_name_H-M_alt 'R -3 m'
_space_group_IT_number 166
_space_group_name_Hall '-R 3 2"'
loop_
_atom_site_label
_atom_site_fract_x
_atom_site_fract_y
_atom_site_fract_z
Ce1 0.0000 0.0000 0.0000
Pm1 0.0000 0.0000 0.5000
Au1 0.0000 0.0000 0.2501



S | # CePmAu2, relaxed, DFT PBE
# - M_tot (μB/f.u.) = 1.11
# - crystal system = tetragonal
# - D(E_F) (states/eV per cell) = 8.36
data_CePmAu2
_cell_length_a 5.244
_cell_length_b 5.244
_cell_length_c 3.669
_cell_angle_alpha 90.00
_cell_angle_beta 90.00
_cell_angle_gamma 90.00
_space_group_name_H-M_alt 'P 4/m m m'
_space_group_IT_number 123
_space_group_name_Hall '-P 4 2'
loop_
_atom_site_label
_atom_site_fract_x
_atom_site_fract_y
_atom_site_fract_z
Ce1 0.000 0.000 0.000
Pm1 0.500 0.500 0.000
Au1 0.000 0.500 0.500



Of them, Q has the highest stability.



P | # CePm2Au3, relaxed, DFT PBE
# - M_tot (μB/f.u.) = 1.15
# - crystal system = orthorhombic
# - D(E_F) (states/eV per cell) = 21.43
data_CePm2Au3
_cell_length_a 5.243
_cell_length_b 15.774
_cell_length_c 3.662
_cell_angle_alpha 90.00
_cell_angle_beta 90.00
_cell_angle_gamma 90.00
_space_group_name_H-M_alt 'P m m n'
_space_group_IT_number 59
loop_
_space_group_symop_operation_xyz
'x,y,z'
'-x,-y,-z'
'-x+1/2,-y+1/2,z'
'x+1/2,y+1/2,-z'
'x+1/2,-y,-z'
'-x+1/2,y,z'
'-x,y+1/2,-z'
'x,-y+1/2,z'
loop_
_atom_site_label
_atom_site_fract_x
_atom_site_fract_y
_atom_site_fract_z
Ce1 0.250 0.250 0.001
Pm1 0.250 0.583 0.999
Au1 0.250 0.082 0.500
Au2 0.250 0.750 0.498



Q | # CePm2Au3, relaxed, DFT PBE
# - M_tot (μB/f.u.) = 1.15
# - crystal system = tetragonal
# - D(E_F) (states/eV per cell) = 9.70
data_CePm2Au3
_cell_length_a 3.670
_cell_length_b 3.670
_cell_length_c 11.238
_cell_angle_alpha 90.00
_cell_angle_beta 90.00
_cell_angle_gamma 90.00
_space_group_name_H-M_alt 'P 4/m m m'
_space_group_IT_number 123
_space_group_name_Hall '-P 4 2'
loop_
_atom_site_label
_atom_site_fract_x
_atom_site_fract_y
_atom_site_fract_z
Ce1 0.000 0.000 0.000
Pm1 0.000 0.000 0.334
Au1 0.500 0.500 0.170
Au2 0.500 0.500 0.500



Of them, Q has the highest stability.



P | # Ce2PmAu3, relaxed, DFT PBE
# - M_tot (μB/f.u.) = 2.17
# - crystal system = tetragonal
# - D(E_F) (states/eV per cell) = 15.44
data_Ce2PmAu3
_cell_length_a 3.665
_cell_length_b 3.665
_cell_length_c 11.263
_cell_angle_alpha 90.00
_cell_angle_beta 90.00
_cell_angle_gamma 90.00
_space_group_name_H-M_alt 'P 4/m m m'
_space_group_IT_number 123
_space_group_name_Hall '-P 4 2'
loop_
_atom_site_label
_atom_site_fract_x
_atom_site_fract_y
_atom_site_fract_z
Ce1 0.000 0.000 0.167
Pm1 0.000 0.000 0.500
Au1 0.500 0.500 0.000
Au2 0.500 0.500 0.336



Q | # Ce2PmAu3, relaxed, DFT PBE
# - M_tot (μB/f.u.) = 2.17
# - crystal system = orthorhombic
# - D(E_F) (states/eV per cell) = 60.81
data_Ce2PmAu3
_cell_length_a 4.550
_cell_length_b 22.266
_cell_length_c 6.334
_cell_angle_alpha 90.00
_cell_angle_beta 90.00
_cell_angle_gamma 90.00
_space_group_name_H-M_alt 'C m c m'
_space_group_IT_number 63
_space_group_name_Hall '-C 2c 2'
loop_
_atom_site_label
_atom_site_fract_x
_atom_site_fract_y
_atom_site_fract_z
Ce1 0.000 0.021 0.250
Ce2 0.000 0.144 0.750
Pm1 0.000 0.319 0.750
Au1 0.000 0.267 0.250
Au2 0.000 0.431 0.025



Of them, P has the highest stability.



P | # CePmRhAu, relaxed, DFT PBE
# - M_tot (μB/f.u.) = 0.21
# - crystal system = orthorhombic
# - D(E_F) (states/eV per cell) = 9.98
data_CePmRhAu
_cell_length_a 4.135
_cell_length_b 3.934
_cell_length_c 11.968
_cell_angle_alpha 90.00
_cell_angle_beta 90.00
_cell_angle_gamma 90.00
_space_group_name_H-M_alt 'A m m 2'
_space_group_IT_number 38
_space_group_name_Hall 'A 2 -2'
loop_
_atom_site_label
_atom_site_fract_x
_atom_site_fract_y
_atom_site_fract_z
Ce1 0.000 0.000 0.000
Pm1 0.500 0.000 0.281
Rh1 0.500 0.000 0.527
Au1 0.000 0.000 0.706



Q | # CePmRhAu, relaxed, DFT PBE
# - M_tot (μB/f.u.) = 0.77
# - crystal system = cubic
# - D(E_F) (states/eV per cell) = 31.96
data_CePmRhAu
_cell_length_a 7.204
_cell_length_b 7.204
_cell_length_c 7.204
_cell_angle_alpha 90.00
_cell_angle_beta 90.00
_cell_angle_gamma 90.00
_space_group_name_H-M_alt 'F -4 3 m'
_space_group_IT_number 216
_space_group_name_Hall 'F -4 2 3'
loop_
_atom_site_label
_atom_site_fract_x
_atom_site_fract_y
_atom_site_fract_z
Ce1 0.000 0.000 0.000
Pm1 0.000 0.000 0.500
Rh1 0.250 0.250 0.250
Au1 0.250 0.250 0.750



Of them, P has the highest stability.



P | # CePmTlAu, relaxed, DFT PBE
# - M_tot (μB/f.u.) = 1.13
# - crystal system = tetragonal
# - D(E_F) (states/eV per cell) = 9.04
data_CePmTlAu
_cell_length_a 3.675
_cell_length_b 3.675
_cell_length_c 8.092
_cell_angle_alpha 90.00
_cell_angle_beta 90.00
_cell_angle_gamma 90.00
_space_group_name_H-M_alt 'P 4 m m'
_space_group_IT_number 99
_space_group_name_Hall 'P 4 -2'
loop_
_atom_site_label
_atom_site_fract_x
_atom_site_fract_y
_atom_site_fract_z
Ce1 0.000 0.000 0.000
Pm1 0.000 0.000 0.457
Tl1 0.500 0.500 0.728
Au1 0.500 0.500 0.236



Q | # CePmTlAu, relaxed, DFT PBE
# - M_tot (μB/f.u.) = 1.45
# - crystal system = cubic
# - D(E_F) (states/eV per cell) = 43.17
data_CePmTlAu
_cell_length_a 7.607
_cell_length_b 7.607
_cell_length_c 7.607
_cell_angle_alpha 90.00
_cell_angle_beta 90.00
_cell_angle_gamma 90.00
_space_group_name_H-M_alt 'F -4 3 m'
_space_group_IT_number 216
_space_group_name_Hall 'F -4 2 3'
loop_
_atom_site_label
_atom_site_fract_x
_atom_site_fract_y
_atom_site_fract_z
Ce1 0.000 0.000 0.000
Pm1 0.000 0.000 0.500
Tl1 0.250 0.250 0.250
Au1 0.250 0.250 0.750



Of them, P has the highest stability.



P | # CePrAu4, relaxed, DFT PBE
# - M_tot (μB/f.u.) = 0.80
# - crystal system = tetragonal
# - D(E_F) (states/eV per cell) = 8.05
data_CePrAu4
_cell_length_a 3.866
_cell_length_b 3.866
_cell_length_c 9.362
_cell_angle_alpha 90.00
_cell_angle_beta 90.00
_cell_angle_gamma 90.00
_space_group_name_H-M_alt 'P 4/m m m'
_space_group_IT_number 123
_space_group_name_Hall '-P 4 2'
loop_
_atom_site_label
_atom_site_fract_x
_atom_site_fract_y
_atom_site_fract_z
Ce1 0.000 0.000 0.000
Pr1 0.500 0.500 0.500
Au1 0.000 0.000 0.332
Au2 0.500 0.500 0.166



Q | # CePrAu4, relaxed, DFT PBE
# - M_tot (μB/f.u.) = 1.03
# - crystal system = tetragonal
# - D(E_F) (states/eV per cell) = 19.28
data_CePrAu4
_cell_length_a 4.043
_cell_length_b 4.043
_cell_length_c 18.394
_cell_angle_alpha 90.00
_cell_angle_beta 90.00
_cell_angle_gamma 90.00
_space_group_name_H-M_alt 'I -4 m 2'
_space_group_IT_number 119
_space_group_name_Hall 'I -4 -2'
loop_
_atom_site_label
_atom_site_fract_x
_atom_site_fract_y
_atom_site_fract_z
Ce1 0.000 0.000 0.000
Pr1 0.000 0.500 0.750
Au1 0.000 0.000 0.425
Au2 0.000 0.500 0.175



Of them, P has the highest stability.



P | # CePrPtAu, relaxed, DFT PBE
# - M_tot (μB/f.u.) = 0.63
# - crystal system = orthorhombic
# - D(E_F) (states/eV per cell) = 13.96
data_CePrPtAu
_cell_length_a 4.542
_cell_length_b 3.910
_cell_length_c 11.446
_cell_angle_alpha 90.00
_cell_angle_beta 90.00
_cell_angle_gamma 90.00
_space_group_name_H-M_alt 'A m m 2'
_space_group_IT_number 38
_space_group_name_Hall 'A 2 -2'
loop_
_atom_site_label
_atom_site_fract_x
_atom_site_fract_y
_atom_site_fract_z
Ce1 0.000 0.000 0.000
Pr1 0.500 0.000 0.275
Pt1 0.500 0.000 0.537
Au1 0.000 0.000 0.717



Q | # CePrPtAu, relaxed, DFT PBE
# - M_tot (μB/f.u.) = 1.06
# - crystal system = cubic
# - D(E_F) (states/eV per cell) = 33.27
data_CePrPtAu
_cell_length_a 7.325
_cell_length_b 7.325
_cell_length_c 7.325
_cell_angle_alpha 90.00
_cell_angle_beta 90.00
_cell_angle_gamma 90.00
_space_group_name_H-M_alt 'F -4 3 m'
_space_group_IT_number 216
_space_group_name_Hall 'F -4 2 3'
loop_
_atom_site_label
_atom_site_fract_x
_atom_site_fract_y
_atom_site_fract_z
Ce1 0.000 0.000 0.000
Pr1 0.000 0.000 0.500
Pt1 0.250 0.250 0.250
Au1 0.250 0.250 0.750



Of them, P has the highest stability.



P | # CePrTlAu, relaxed, DFT PBE
# - M_tot (μB/f.u.) = 1.50
# - crystal system = cubic
# - D(E_F) (states/eV per cell) = 43.00
data_CePrTlAu
_cell_length_a 7.660
_cell_length_b 7.660
_cell_length_c 7.660
_cell_angle_alpha 90.00
_cell_angle_beta 90.00
_cell_angle_gamma 90.00
_space_group_name_H-M_alt 'F -4 3 m'
_space_group_IT_number 216
_space_group_name_Hall 'F -4 2 3'
loop_
_atom_site_label
_atom_site_fract_x
_atom_site_fract_y
_atom_site_fract_z
Ce1 0.000 0.000 0.000
Pr1 0.000 0.000 0.500
Tl1 0.250 0.250 0.750
Au1 0.250 0.250 0.250



Q | # CePrTlAu, relaxed, DFT PBE
# - M_tot (μB/f.u.) = 1.05
# - crystal system = tetragonal
# - D(E_F) (states/eV per cell) = 9.19
data_CePrTlAu
_cell_length_a 3.698
_cell_length_b 3.698
_cell_length_c 8.153
_cell_angle_alpha 90.00
_cell_angle_beta 90.00
_cell_angle_gamma 90.00
_space_group_name_H-M_alt 'P 4 m m'
_space_group_IT_number 99
_space_group_name_Hall 'P 4 -2'
loop_
_atom_site_label
_atom_site_fract_x
_atom_site_fract_y
_atom_site_fract_z
Ce1 0.000 0.000 0.000
Pr1 0.000 0.000 0.457
Tl1 0.500 0.500 0.731
Au1 0.500 0.500 0.224



Of them, Q has the highest stability.